(1)
Entry from Alexandria: crystalline Nd2ZrIn at its relaxed geometry (PBE-GGA).

Properties
- Calculated volume: 115.0 Å³/f.u.
- E_form: -0.114 eV per atom
- Relative energy among the computed polymorphs: 0.045 eV/atom
- Density: 7.138 Mg/m³

Cell: 3.425 3.425 9.808 Å, 90.00 90.00 90.00°
Fractional coordinates of all 4 atoms:
Nd  0.000  0.000  0.753
Nd  0.000  0.000  0.247
Zr  0.500  0.500  0.500
In  0.500  0.500  0.000

=====

(2)
Entry from Alexandria: crystalline Pb3Se at its relaxed geometry (PBE-GGA).

Properties
- Formation energy without anion corrections: -0.12 eV/atom
- Calculated volume: 124.9 Å³/f.u.
- Density: 9.314 Mg/m³

Cell: 9.468 9.468 9.468 Å, 24.15 24.15 24.15°
Fractional coordinates of all 4 atoms:
Pb  0.738  0.738  0.738
Pb  0.500  0.500  0.500
Pb  0.262  0.262  0.262
Se  0.000  0.000  0.000

=====

(3)
Entry from Alexandria: crystalline Pr2ErSn3Rh4 at its relaxed geometry (PBE-GGA).

Properties
- Calculated volume: 223.8 Å³/f.u.
- E_form: -0.762 eV per atom
- Density: 9.028 Mg/m³

Cell: 4.425 4.425 11.428 Å, 90.00 90.00 90.00°
Fractional coordinates of all 10 atoms:
Pr  0.500  0.000  0.234
Pr  0.000  0.500  0.766
Er  0.500  0.500  0.500
Sn  0.000  0.000  0.500
Sn  0.500  0.000  0.874
Sn  0.000  0.500  0.126
Rh  0.500  0.500  0.000
Rh  0.000  0.000  0.000
Rh  0.500  0.000  0.645
Rh  0.000  0.500  0.355

=====

(4)
Entry from Alexandria: crystalline Li3ClO at its relaxed geometry (PBE-GGA).

Properties
- Formation energy without anion corrections: -1.72 eV/atom
- Calculated volume: 68.0 Å³/f.u.
- Relative energy among the computed polymorphs: 0.105 eV/atom
- Density: 1.764 Mg/m³

Cell: 3.520 3.520 12.678 Å, 90.00 90.00 120.00°
Fractional coordinates of all 10 atoms:
Li  0.000  0.000  0.250
Li  0.000  0.000  0.750
Li  0.333  0.667  0.889
Li  0.333  0.667  0.611
Li  0.667  0.333  0.389
Li  0.667  0.333  0.111
O  0.333  0.667  0.750
O  0.667  0.333  0.250
Cl  0.000  0.000  0.000
Cl  0.000  0.000  0.500

=====

(5)
Entry from Alexandria: crystalline AcPr7Nd3 at its relaxed geometry (PBE-GGA).

Properties
- Calculated volume: 422.3 Å³/f.u.
- E_form: 0.174 eV per atom
- Relative energy among the computed polymorphs: 0.000 eV/atom
- Density: 6.472 Mg/m³

Cell: 8.920 7.394 7.394 Å, 120.00 90.00 90.00°
Fractional coordinates of all 11 atoms:
Ac  0.443  0.333  0.667
Pr  0.110  0.166  0.834
Pr  0.110  0.166  0.332
Pr  0.124  0.667  0.333
Pr  0.454  0.833  0.167
Pr  0.454  0.333  0.167
Pr  0.454  0.833  0.667
Pr  0.110  0.668  0.834
Nd  0.786  0.501  0.499
Nd  0.786  0.501  0.002
Nd  0.786  0.998  0.499

=====

(6)
Entry from Alexandria: crystalline Fe2Co2Ni15 at its relaxed geometry (PBE-GGA).

Properties
- Calculated volume: 224.7 Å³/f.u.
- E_form: 0.181 eV per atom
- Density: 8.204 Mg/m³

Cell: 6.148 6.148 6.148 Å, 81.04 81.04 81.04°
Site moments in Bohr magnetons follow the coordinates.
Fractional coordinates of all 19 atoms:
Fe  0.301  0.301  0.301  3.17
Fe  0.699  0.699  0.699  3.17
Co  0.094  0.094  0.094  1.77
Co  0.906  0.906  0.906  1.77
Ni  0.500  0.000  0.000  0.62
Ni  0.000  0.000  0.500  0.62
Ni  0.000  0.500  0.000  0.62
Ni  0.000  0.682  0.318  0.58
Ni  0.682  0.318  0.000  0.58
Ni  0.318  0.000  0.682  0.58
Ni  0.318  0.682  0.000  0.58
Ni  0.682  0.000  0.318  0.58
Ni  0.000  0.318  0.682  0.58
Ni  0.161  0.657  0.657  0.69
Ni  0.657  0.657  0.161  0.69
Ni  0.657  0.161  0.657  0.69
Ni  0.839  0.343  0.343  0.69
Ni  0.343  0.343  0.839  0.69
Ni  0.343  0.839  0.343  0.69

=====

(7)
Entry from Alexandria: crystalline GdTmCoGe at its relaxed geometry (PBE-GGA).

Properties
- Calculated volume: 82.9 Å³/f.u.
- E_form: -0.391 eV per atom
- Density: 9.164 Mg/m³

Cell: 4.895 4.895 4.895 Å, 60.00 60.00 60.00°
Site moments in Bohr magnetons follow the coordinates.
Fractional coordinates of all 4 atoms:
Gd  0.250  0.250  0.250  6.86
Ge  0.000  0.000  0.000  0.05
Tm  0.750  0.750  0.750  -0.16
Co  0.500  0.500  0.500  1.05

=====

(8)
Entry from Alexandria: crystalline BaCaY at its relaxed geometry (PBE-GGA).

Properties
- Calculated volume: 127.2 Å³/f.u.
- E_form: 0.172 eV per atom
- Relative energy among the computed polymorphs: 0.000 eV/atom
- Density: 3.477 Mg/m³

Cell: 3.892 3.892 9.693 Å, 90.00 90.00 120.00°
Fractional coordinates of all 3 atoms:
Y  0.333  0.667  0.657
Ca  0.667  0.333  0.352
Ba  0.000  0.000  0.991

=====

(9)
Entry from Alexandria: crystalline Al5Ru4Pt at its relaxed geometry (PBE-GGA).

Properties
- Calculated volume: 137.5 Å³/f.u.
- E_form: -0.764 eV per atom
- Density: 8.869 Mg/m³

Cell: 3.031 3.031 14.969 Å, 90.00 90.00 90.00°
Fractional coordinates of all 10 atoms:
Al  0.500  0.500  0.108
Al  0.500  0.500  0.301
Al  0.500  0.500  0.500
Al  0.500  0.500  0.699
Al  0.500  0.500  0.892
Ru  0.000  0.000  0.200
Ru  0.000  0.000  0.401
Ru  0.000  0.000  0.599
Ru  0.000  0.000  0.800
Pt  0.000  0.000  0.000

=====

(10)
Entry from Alexandria: crystalline TbGdTmAl at its relaxed geometry (PBE-GGA).

Properties
- Calculated volume: 107.5 Å³/f.u.
- E_form: -0.084 eV per atom
- Density: 7.909 Mg/m³

Cell: 5.337 5.337 5.337 Å, 60.00 60.00 60.00°
Site moments in Bohr magnetons follow the coordinates.
Fractional coordinates of all 4 atoms:
Gd  0.750  0.750  0.750  7.22
Tm  0.500  0.500  0.500  0.21
Tb  0.250  0.250  0.250  0.13
Al  0.000  0.000  0.000  -0.01

=====

(11)
Entry from Alexandria: crystalline Rb4Cu3PbCl12 at its relaxed geometry (PBE-GGA).

Properties
- Formation energy without anion corrections: -1.16 eV/atom
- Calculated volume: 529.0 Å³/f.u.
- Density: 3.657 Mg/m³

Cell: 8.825 8.825 8.825 Å, 109.47 109.47 109.47°
Site moments in Bohr magnetons follow the coordinates.
Fractional coordinates of all 20 atoms:
Rb  0.500  0.500  0.500  0.00
Rb  0.000  0.000  0.500  0.00
Rb  0.500  0.000  0.000  0.00
Rb  0.000  0.500  0.000  0.00
Cu  0.500  0.000  0.500  0.21
Cu  0.500  0.500  0.000  0.21
Cu  0.000  0.500  0.500  0.21
Pb  0.000  0.000  0.000  0.03
Cl  0.250  0.500  0.750  0.04
Cl  0.728  0.000  0.728  0.03
Cl  0.272  0.000  0.272  0.03
Cl  0.750  0.500  0.250  0.04
Cl  0.728  0.728  0.000  0.03
Cl  0.272  0.272  0.000  0.03
Cl  0.750  0.250  0.500  0.04
Cl  0.250  0.750  0.500  0.04
Cl  0.500  0.250  0.750  0.04
Cl  0.000  0.728  0.728  0.03
Cl  0.500  0.750  0.250  0.04
Cl  0.000  0.272  0.272  0.03

=====

(12)
Entry from Alexandria: crystalline Ti2V2Cd at its relaxed geometry (PBE-GGA).

Properties
- Calculated volume: 83.2 Å³/f.u.
- E_form: 0.168 eV per atom
- Relative energy among the computed polymorphs: 0.000 eV/atom
- Density: 6.188 Mg/m³

Cell: 7.044 7.044 3.353 Å, 90.00 90.00 90.00°
Fractional coordinates of all 10 atoms:
Cd  0.000  0.000  0.000
Cd  0.500  0.500  0.000
Ti  0.173  0.673  0.500
Ti  0.673  0.827  0.500
Ti  0.827  0.327  0.500
Ti  0.327  0.173  0.500
V  0.383  0.883  0.000
V  0.883  0.617  0.000
V  0.617  0.117  0.000
V  0.117  0.383  0.000

=====

(13)
Entry from Alexandria: crystalline Cu3Ag at its relaxed geometry (PBE-GGA).

Properties
- Calculated volume: 54.7 Å³/f.u.
- E_form: 0.127 eV per atom
- Density: 9.066 Mg/m³

Cell: 8.644 8.644 8.644 Å, 18.14 18.14 18.14°
Fractional coordinates of all 4 atoms:
Ag  0.000  0.000  0.000
Cu  0.244  0.244  0.244
Cu  0.500  0.500  0.500
Cu  0.756  0.756  0.756

=====

(14)
Entry from Alexandria: crystalline Pu3Ga4Cu4 at its relaxed geometry (PBE-GGA).

Properties
- Calculated volume: 202.5 Å³/f.u.
- E_form: -0.191 eV per atom
- Density: 10.373 Mg/m³

Cell: 4.282 6.757 8.062 Å, 114.77 105.40 90.00°
Site moments in Bohr magnetons follow the coordinates.
Fractional coordinates of all 11 atoms:
Pu  0.122  0.122  0.245  5.34
Pu  0.878  0.878  0.755  5.34
Pu  0.000  0.500  0.000  5.45
Ga  0.330  0.136  0.660  -0.01
Ga  0.670  0.476  0.340  -0.01
Ga  0.670  0.864  0.340  -0.01
Ga  0.330  0.524  0.660  -0.01
Cu  0.217  0.717  0.434  0.02
Cu  0.783  0.283  0.566  0.02
Cu  0.500  0.814  0.000  0.03
Cu  0.500  0.186  0.000  0.03

=====

(15)
Entry from Alexandria: crystalline TaHgPt2 at its relaxed geometry (PBE-GGA).

Properties
- Calculated volume: 70.0 Å³/f.u.
- E_form: -0.434 eV per atom
- Density: 18.316 Mg/m³

Cell: 2.905 2.903 8.792 Å, 70.64 90.00 90.00°
Fractional coordinates of all 4 atoms:
Hg  0.500  0.750  0.750
Pt  0.000  0.979  0.022
Pt  0.000  0.521  0.478
Ta  0.500  0.250  0.250

=====

(16)
Entry from Alexandria: crystalline NdErIrO6 at its relaxed geometry (PBE-GGA).

Properties
- Formation energy without anion corrections: -2.19 eV/atom
- Calculated volume: 131.0 Å³/f.u.
- Density: 7.604 Mg/m³

Cell: 5.502 5.502 9.991 Å, 90.00 90.00 120.00°
Site moments in Bohr magnetons follow the coordinates.
Fractional coordinates of all 18 atoms:
Nd  0.000  0.000  0.000  0.03
Nd  0.000  0.000  0.500  0.03
Er  0.333  0.667  0.250  0.07
Er  0.667  0.333  0.750  0.07
Ir  0.667  0.333  0.250  1.48
Ir  0.333  0.667  0.750  1.48
O  0.664  0.626  0.139  0.18
O  0.962  0.336  0.139  0.18
O  0.336  0.962  0.639  0.18
O  0.038  0.664  0.861  0.18
O  0.374  0.336  0.361  0.18
O  0.962  0.626  0.361  0.18
O  0.626  0.962  0.861  0.18
O  0.664  0.038  0.361  0.18
O  0.038  0.374  0.639  0.18
O  0.374  0.038  0.139  0.18
O  0.626  0.664  0.639  0.18
O  0.336  0.374  0.861  0.18

=====

(17)
Entry from Alexandria: crystalline CsBe3Tc at its relaxed geometry (PBE-GGA).

Properties
- Calculated volume: 111.0 Å³/f.u.
- E_form: 3.011 eV per atom
- Relative energy among the computed polymorphs: 1.920 eV/atom
- Density: 3.860 Mg/m³

Cell: 4.805 4.805 4.805 Å, 90.00 90.00 90.00°
Site moments in Bohr magnetons follow the coordinates.
Fractional coordinates of all 5 atoms:
Cs  0.000  0.000  0.000  -0.06
Be  0.000  0.500  0.000  -0.05
Be  0.000  0.000  0.500  -0.01
Be  0.500  0.000  0.000  -0.10
Tc  0.500  0.500  0.500  2.92

=====

(18)
Entry from Alexandria: crystalline CsNaIBr at its relaxed geometry (PBE-GGA).

Properties
- Formation energy without anion corrections: -1.36 eV/atom
- Calculated volume: 158.2 Å³/f.u.
- Relative energy among the computed polymorphs: 0.135 eV/atom
- Density: 3.808 Mg/m³

Cell: 6.070 6.070 6.070 Å, 60.00 60.00 60.00°
Fractional coordinates of all 4 atoms:
Cs  0.500  0.500  0.500
I  0.250  0.250  0.250
Br  0.750  0.750  0.750
Na  0.000  0.000  0.000

=====

(19)
Entry from Alexandria: crystalline PuNpSiIr at its relaxed geometry (PBE-GGA).

Properties
- Formation energy without anion corrections: -0.19 eV/atom
- Calculated volume: 75.8 Å³/f.u.
- Density: 15.362 Mg/m³

Cell: 4.750 4.750 4.750 Å, 60.00 60.00 60.00°
Site moments in Bohr magnetons follow the coordinates.
Fractional coordinates of all 4 atoms:
Np  0.500  0.500  0.500  4.23
Si  0.250  0.250  0.250  0.02
Ir  0.000  0.000  0.000  -0.10
Pu  0.750  0.750  0.750  5.26

=====

(20)
Entry from Alexandria: crystalline TiAgHgAu at its relaxed geometry (PBE-GGA).

Properties
- Calculated volume: 72.9 Å³/f.u.
- E_form: -0.080 eV per atom
- Density: 12.607 Mg/m³

Cell: 4.688 4.688 4.688 Å, 60.00 60.00 60.00°
Fractional coordinates of all 4 atoms:
Au  0.000  0.000  0.000
Hg  0.500  0.500  0.500
Ag  0.250  0.250  0.250
Ti  0.750  0.750  0.750